1.
VASP calculation (GGA-PBE) on U3B7Mo after structural relaxation.

Computed properties:
Energy   -8.691 eV/atom
Calculated formation energy   -36.6 kJ per mole of atoms
Volume   11.765 Å³ per atom
Symmetry   No. 63

a b c (Å): 3.571 8.002 9.293
angles (deg): 90.00 90.00 102.89
Each line ends with the local moment (μB).
Fractional positions:
1 U 0.107 0.214 0.438  1.58
2 U 0.893 0.786 0.562  1.58
3 U 0.253 0.506 0.750  1.88
4 U 0.747 0.494 0.250  1.88
5 U 0.107 0.214 0.062  1.58
6 U 0.893 0.786 0.938  1.58
7 B 0.456 0.911 0.750  -0.03
8 B 0.544 0.089 0.250  -0.03
9 B 0.479 0.958 0.409  -0.01
10 B 0.521 0.042 0.591  -0.01
11 B 0.521 0.042 0.909  -0.01
12 B 0.479 0.958 0.091  -0.01
13 B 0.365 0.729 0.349  -0.01
14 B 0.635 0.271 0.651  -0.01
15 B 0.274 0.549 0.468  -0.04
16 B 0.726 0.451 0.532  -0.04
17 B 0.726 0.451 0.968  -0.04
18 B 0.274 0.549 0.032  -0.04
19 B 0.365 0.729 0.151  -0.01
20 B 0.635 0.271 0.849  -0.01
21 Mo 0.946 0.891 0.250  -0.06
22 Mo 0.054 0.109 0.750  -0.06

2.
VASP calculation (GGA-PBE) on U2B6Mo after structural relaxation.

Computed properties:
Energy   -8.734 eV/atom
Energy relative to the lowest polymorph listed for this composition   0 meV per atom
Calculated formation energy   -55.1 kJ per mole of atoms
Volume   10.802 Å³ per atom
Symmetry   No. 55

a b c (Å): 3.697 9.265 11.354
angles (deg): 90.00 90.00 90.00
Each line ends with the local moment (μB).
Fractional positions:
1 U 0.000 0.335 0.408  0.72
2 U 0.000 0.665 0.592  0.72
3 U 0.000 0.835 0.092  0.72
4 U 0.000 0.165 0.908  0.72
5 U 0.000 0.956 0.394  0.02
6 U 0.000 0.044 0.606  0.02
7 U 0.000 0.456 0.106  0.02
8 U 0.000 0.544 0.894  0.02
9 B 0.500 0.550 0.433  -0.01
10 B 0.500 0.450 0.567  -0.01
11 B 0.500 0.050 0.067  -0.01
12 B 0.500 0.950 0.933  -0.01
13 B 0.500 0.743 0.424  0.00
14 B 0.500 0.257 0.576  0.00
15 B 0.500 0.243 0.076  0.00
16 B 0.500 0.757 0.924  0.00
17 B 0.500 0.804 0.273  0.00
18 B 0.500 0.196 0.727  0.00
19 B 0.500 0.304 0.227  0.00
20 B 0.500 0.696 0.773  0.00
21 B 0.500 0.645 0.187  0.00
22 B 0.500 0.355 0.813  0.00
23 B 0.500 0.145 0.313  0.00
24 B 0.500 0.855 0.687  0.00
25 B 0.500 0.986 0.218  -0.01
26 B 0.500 0.014 0.782  -0.01
27 B 0.500 0.486 0.282  -0.01
28 B 0.500 0.514 0.718  -0.01
29 B 0.500 0.642 0.039  -0.01
30 B 0.500 0.358 0.961  -0.01
31 B 0.500 0.142 0.461  -0.01
32 B 0.500 0.858 0.539  -0.01
33 Mo 0.000 0.645 0.320  -0.07
34 Mo 0.000 0.355 0.680  -0.07
35 Mo 0.000 0.145 0.180  -0.07
36 Mo 0.000 0.855 0.820  -0.07

3.
VASP calculation (GGA-PBE) on UBMo after structural relaxation.

Computed properties:
Energy   -9.446 eV/atom
Energy relative to the lowest polymorph listed for this composition   100 meV per atom
Calculated formation energy   14.7 kJ per mole of atoms
Volume   14.837 Å³ per atom
Symmetry   No. 166

a b c (Å): 3.243 3.243 9.950
angles (deg): 80.62 80.62 60.00
Fractional positions:
1 B 0.076 0.076 0.771
2 B 0.924 0.924 0.229
3 Mo 0.628 0.628 0.115
4 Mo 0.372 0.372 0.885
5 U 0.199 0.199 0.403
6 U 0.801 0.801 0.597

4.
VASP calculation (GGA-PBE) on UBMo after structural relaxation.

Computed properties:
Energy   -9.546 eV/atom
Energy relative to the lowest polymorph listed for this composition   0 meV per atom
Calculated formation energy   5.1 kJ per mole of atoms
Volume   14.833 Å³ per atom
Symmetry   No. 107

a b c (Å): 3.080 3.080 5.171
angles (deg): 107.33 107.33 90.00
Each line ends with the local moment (μB).
Fractional positions:
1 Mo 0.000 0.000 0.999  -0.08
2 B 0.578 0.578 0.157  -0.01
3 U 0.272 0.272 0.544  0.73

5.
VASP calculation (GGA-PBE) on UB6Mo2 after structural relaxation.

Computed properties:
Energy   -8.471 eV/atom
Energy relative to the lowest polymorph listed for this composition   106 meV per atom
Calculated formation energy   -34.6 kJ per mole of atoms
Volume   9.860 Å³ per atom
Symmetry   No. 191

a b c (Å): 3.584 5.347 5.347
angles (deg): 120.00 90.00 90.00
Each line ends with the local moment (μB).
Fractional positions:
1 U 0.000 0.000 0.000  0.44
2 B 0.500 0.339 0.339  0.00
3 B 0.500 0.661 0.661  0.00
4 B 0.500 0.000 0.661  0.00
5 B 0.500 0.661 0.000  0.00
6 B 0.500 0.339 0.000  0.00
7 B 0.500 0.000 0.339  0.00
8 Mo 0.000 0.333 0.667  0.00
9 Mo 0.000 0.667 0.333  0.00

6.
VASP calculation (GGA-PBE) on UB2Mo after structural relaxation.

Computed properties:
Energy   -8.957 eV/atom
Calculated formation energy   -8.6 kJ per mole of atoms
Volume   13.320 Å³ per atom
Symmetry   No. 166

a b c (Å): 3.217 3.217 6.228
angles (deg): 75.03 75.03 60.00
Each line ends with the local moment (μB).
Fractional positions:
1 Mo 0.000 0.000 0.000  -0.10
2 B 0.263 0.263 0.211  0.01
3 B 0.737 0.737 0.789  0.01
4 U 0.500 0.500 0.500  1.03

7.
VASP calculation (GGA-PBE) on UB4Mo after structural relaxation.

Computed properties:
Energy   -8.675 eV/atom
Calculated formation energy   -51.8 kJ per mole of atoms
Volume   10.485 Å³ per atom
Symmetry   No. 65

a b c (Å): 5.943 5.943 3.668
angles (deg): 90.00 90.00 103.82
Each line ends with the local moment (μB).
Fractional positions:
1 U 0.699 0.301 0.000  0.87
2 U 0.301 0.699 0.000  0.87
3 B 0.617 0.936 0.500  -0.01
4 B 0.383 0.064 0.500  -0.01
5 B 0.936 0.617 0.500  -0.01
6 B 0.064 0.383 0.500  -0.01
7 B 0.620 0.620 0.500  -0.01
8 B 0.380 0.380 0.500  -0.01
9 B 0.907 0.093 0.500  0.00
10 B 0.093 0.907 0.500  0.00
11 Mo 0.818 0.818 0.000  0.00
12 Mo 0.182 0.182 0.000  0.00

8.
VASP calculation (GGA-PBE) on UB4Mo after structural relaxation.

Computed properties:
Energy   -8.675 eV/atom
Calculated formation energy   -51.8 kJ per mole of atoms
Volume   10.485 Å³ per atom
Symmetry   No. 55

a b c (Å): 3.674 5.940 11.531
angles (deg): 90.00 90.00 90.00
Each line ends with the local moment (μB).
Fractional positions:
1 U 0.000 0.127 0.650  0.87
2 U 0.000 0.873 0.350  0.87
3 U 0.000 0.627 0.850  0.87
4 U 0.000 0.373 0.150  0.87
5 B 0.500 0.475 0.693  -0.01
6 B 0.500 0.525 0.307  -0.01
7 B 0.500 0.975 0.807  -0.01
8 B 0.500 0.025 0.193  -0.01
9 B 0.500 0.291 0.812  -0.01
10 B 0.500 0.709 0.188  -0.01
11 B 0.500 0.791 0.688  -0.01
12 B 0.500 0.209 0.312  -0.01
13 B 0.500 0.368 0.968  -0.01
14 B 0.500 0.632 0.032  -0.01
15 B 0.500 0.868 0.532  -0.01
16 B 0.500 0.132 0.468  -0.01
17 B 0.500 0.385 0.547  0.00
18 B 0.500 0.615 0.453  0.00
19 B 0.500 0.885 0.953  0.00
20 B 0.500 0.115 0.047  0.00
21 Mo 0.000 0.137 0.908  -0.01
22 Mo 0.000 0.863 0.092  -0.01
23 Mo 0.000 0.637 0.592  -0.01
24 Mo 0.000 0.363 0.408  -0.01

9.
VASP calculation (GGA-PBE) on UB4Mo2 after structural relaxation.

Computed properties:
Energy   -9.008 eV/atom
Calculated formation energy   -46.8 kJ per mole of atoms
Volume   11.003 Å³ per atom
Symmetry   No. 71

a b c (Å): 3.067 3.200 8.155
angles (deg): 101.31 100.84 90.00
Each line ends with the local moment (μB).
Fractional positions:
1 Mo 0.807 0.807 0.614  -0.01
2 Mo 0.193 0.193 0.386  -0.01
3 B 0.643 0.643 0.287  0.00
4 B 0.357 0.357 0.713  0.00
5 B 0.091 0.591 0.182  -0.01
6 B 0.909 0.409 0.818  -0.01
7 U 0.500 0.000 0.000  0.50

10.
VASP calculation (GGA-PBE) on U5B24Mo10 after structural relaxation.

Computed properties:
Energy   -8.896 eV/atom
Calculated formation energy   -54.3 kJ per mole of atoms
Volume   10.482 Å³ per atom
Symmetry   No. 59

a b c (Å): 3.106 14.644 17.976
angles (deg): 90.00 90.00 90.00
Each line ends with the local moment (μB).
Fractional positions:
1 U 0.000 0.526 0.614  -0.49
2 U 0.500 0.022 0.500  -0.21
3 U 0.500 0.824 0.755  0.86
4 U 0.000 0.978 0.000  -0.21
5 U 0.500 0.824 0.245  0.86
6 U 0.500 0.474 0.886  -0.49
7 U 0.000 0.176 0.255  0.86
8 U 0.500 0.474 0.114  -0.49
9 U 0.000 0.176 0.745  0.86
10 U 0.000 0.526 0.386  -0.49
11 B 0.500 0.188 0.132  -0.01
12 B 0.000 0.168 0.500  0.00
13 B 0.500 0.528 0.736  0.00
14 B 0.000 0.111 0.594  0.00
15 B 0.500 0.188 0.868  -0.01
16 B 0.000 0.913 0.855  -0.01
17 B 0.000 0.614 0.913  0.00
18 B 0.000 0.359 0.193  0.00
19 B 0.500 0.386 0.413  0.00
20 B 0.000 0.338 0.375  0.00
21 B 0.000 0.338 0.625  0.00
22 B 0.500 0.296 0.823  -0.01
23 B 0.000 0.135 0.901  0.00
24 B 0.000 0.539 0.000  0.01
25 B 0.000 0.978 0.770  -0.01
26 B 0.000 0.472 0.764  0.00
27 B 0.500 0.087 0.645  -0.01
28 B 0.500 0.641 0.307  0.00
29 B 0.000 0.704 0.677  -0.01
30 B 0.000 0.419 0.000  0.01
31 B 0.500 0.865 0.401  0.00
32 B 0.500 0.296 0.177  -0.01
33 B 0.000 0.359 0.807  0.00
34 B 0.000 0.812 0.368  -0.01
35 B 0.000 0.704 0.323  -0.01
36 B 0.500 0.641 0.693  0.00
37 B 0.000 0.913 0.145  -0.01
38 B 0.500 0.662 0.875  0.00
39 B 0.500 0.087 0.355  -0.01
40 B 0.000 0.472 0.236  0.00
41 B 0.500 0.865 0.599  0.00
42 B 0.500 0.461 0.500  0.01
43 B 0.000 0.978 0.230  -0.01
44 B 0.000 0.641 0.500  0.00
45 B 0.500 0.832 0.000  0.00
46 B 0.000 0.135 0.099  0.00
47 B 0.500 0.022 0.730  -0.01
48 B 0.500 0.662 0.125  0.00
49 B 0.500 0.386 0.587  0.00
50 B 0.500 0.889 0.094  0.00
51 B 0.500 0.022 0.270  -0.01
52 B 0.000 0.812 0.632  -0.01
53 B 0.000 0.614 0.087  0.00
54 B 0.000 0.111 0.406  0.00
55 B 0.500 0.528 0.264  0.00
56 B 0.500 0.359 0.000  0.00
57 B 0.500 0.581 0.500  0.01
58 B 0.500 0.889 0.906  0.00
59 Mo 0.000 0.967 0.644  -0.01
60 Mo 0.500 0.372 0.713  -0.03
61 Mo 0.000 0.346 0.500  0.00
62 Mo 0.500 0.710 0.580  0.00
63 Mo 0.500 0.226 0.412  -0.03
64 Mo 0.000 0.290 0.920  0.00
65 Mo 0.000 0.845 0.500  0.01
66 Mo 0.000 0.774 0.912  -0.03
67 Mo 0.500 0.033 0.144  -0.01
68 Mo 0.500 0.155 0.000  0.01
69 Mo 0.500 0.654 0.000  0.00
70 Mo 0.000 0.774 0.088  -0.03
71 Mo 0.000 0.628 0.213  -0.03
72 Mo 0.000 0.628 0.787  -0.03
73 Mo 0.500 0.226 0.588  -0.03
74 Mo 0.000 0.290 0.080  0.00
75 Mo 0.500 0.710 0.420  0.00
76 Mo 0.500 0.033 0.856  -0.01
77 Mo 0.500 0.372 0.287  -0.03
78 Mo 0.000 0.967 0.356  -0.01

11.
VASP calculation (GGA-PBE) on U2B6Mo after structural relaxation.

Computed properties:
Energy   -8.627 eV/atom
Energy relative to the lowest polymorph listed for this composition   108 meV per atom
Calculated formation energy   -44.7 kJ per mole of atoms
Volume   10.505 Å³ per atom
Symmetry   No. 191

a b c (Å): 3.875 5.308 5.308
angles (deg): 120.00 90.00 90.00
Fractional positions:
1 U 0.000 0.333 0.667
2 U 0.000 0.667 0.333
3 B 0.500 0.329 0.329
4 B 0.500 0.671 0.671
5 B 0.500 0.000 0.671
6 B 0.500 0.671 0.000
7 B 0.500 0.329 0.000
8 B 0.500 0.000 0.329
9 Mo 0.000 0.000 0.000

12.
VASP calculation (GGA-PBE) on VBMo after structural relaxation.

Computed properties:
Energy   -8.821 eV/atom
Calculated formation energy   5.3 kJ per mole of atoms
Volume   12.405 Å³ per atom
Symmetry   No. 71

a b c (Å): 4.531 2.828 6.394
angles (deg): 102.78 110.75 90.00
Fractional positions:
1 Mo 0.607 0.107 0.213
2 Mo 0.393 0.893 0.787
3 B 0.814 0.500 0.000
4 B 0.186 0.500 0.000
5 V 0.178 0.678 0.357
6 V 0.822 0.322 0.643